Tb3CuPd: relaxed, PBE.

As for the calculated formation energy: -1.87 eV/f.u. The total moment is 0.000 μB/atom.

a b c (Å): 5.1626 6.2250 8.3389
angles (deg): 92.33 99.65 112.75
With the nearest neighbours (Å) after each atom.
Space group P-1 (No. 2)
Asymmetric unit:
Tb 0.0137 0.1055 0.3155 x2  2 Pd 2.97-3.26, 3 Cu 3.26-3.27
Tb 0.2813 0.7696 0.1036 x2  2 Pd 2.78, 1 Cu 2.78
Tb 0.2942 0.4888 0.6814 x2  1 Cu 2.78, 1 Pd 2.98
Cu 0.3745 0.7959 0.4433 x2  1 Cu 2.42
Pd 0.2632 0.2539 0.0221 x2  4 Tb 2.78-2.98